Entry 1:
The following is a DFT calculation (PBE-GGA) of a relaxed structure of HgC2.

Properties
The offset from the most stable computed form is 8.15 eV/f.u. The calculation puts the energy of formation at 3.254 eV per atom.

a b c (Å): 3.6895 3.6895 3.8383
angles (deg): 90.00 90.00 120.00
Closest atoms and distances in Å follow each position.
Sites, in units of the cell vectors:
Hg  0.0000  0.0000  0.0000  6 C 2.26
C  0.3333  0.6667  0.1952  3 Hg 2.26
C  0.6667  0.3333  0.8048  3 Hg 2.26

Entry 2:
The following is a DFT calculation (PBE-GGA) of a relaxed structure of Cu2HgBr.

Properties
For the raw formation energy, the calculation gives 189 meV per atom. The offset from the most stable computed form is 0.77 eV/f.u.

a b c (Å): 3.6329 3.6329 7.1377
angles (deg): 104.61 104.61 60.08
Closest atoms and distances in Å follow each position.
Sites, in units of the cell vectors:
Cu  0.2497  0.2497  0.2489  3 Br 2.70, 3 Hg 2.71
Cu  0.7503  0.7503  0.7511  3 Br 2.70, 3 Hg 2.71
Hg  0.0000  0.0000  0.5000  6 Cu 2.71
Br  0.5000  0.5000  0.0000  6 Cu 2.70

Entry 3:
The following is a DFT calculation (PBE-GGA) of a relaxed structure of KBi2Ir.

Properties
The offset from the most stable computed form is 1.39 eV/f.u. The calculation puts the energy of formation at 0.265 eV per atom.

a b c (Å): 5.1478 5.1478 5.1478
angles (deg): 60.00 60.00 60.00
Closest atoms and distances in Å follow each position.
Sites, in units of the cell vectors:
K  0.0000  0.0000  0.0000  8 Bi 3.15
Bi  0.2500  0.2500  0.2500  4 Ir 3.15, 4 K 3.15
Bi  0.7500  0.7500  0.7500  4 Ir 3.15, 4 K 3.15
Ir  0.5000  0.5000  0.5000  8 Bi 3.15

Entry 4:
The following is a DFT calculation (PBE-GGA) of a relaxed structure of LaNd3S.

Properties
For the raw formation energy, the calculation gives -679 meV per atom.

a b c (Å): 5.5450 5.5450 5.5450
angles (deg): 90.00 90.00 90.00
Closest atoms and distances in Å follow each position.
Sites, in units of the cell vectors:
La  0.0000  0.0000  0.0000  12 Nd 3.92
Nd  0.0000  0.5000  0.5000  2 S 2.77
Nd  0.5000  0.0000  0.5000  2 S 2.77
Nd  0.5000  0.5000  0.0000  2 S 2.77
S  0.5000  0.5000  0.5000  6 Nd 2.77